VASP calculation (PBE) on a relaxed structure of TaTiOsW.

The space group is F-43m (No. 216) and the conventional cell measures 6.340, 6.340 and 6.340 Å, with angles of 90.00, 90.00 and 90.00 degrees. The inequivalent atoms are Ta at (0.000, 0.000, 0.000), Ti at (0.000, 0.000, 0.500), Os at (0.250, 0.250, 0.250) and W at (0.250, 0.250, 0.750).

The density of states at the Fermi level comes out at 0.5564 states/eV/atom. Its total energy is -181.166 eV/cell.

***

VASP calculation (PBE) on a relaxed structure of NaInFe3.

The space group is Pm-3m (No. 221) and the conventional cell measures 4.489, 4.489 and 4.489 Å, with angles of 90.00, 90.00 and 90.00 degrees. The inequivalent atoms are Na at (0.000, 0.000, 0.000), In at (0.500, 0.500, 0.500) and Fe at (0.000, 0.000, 0.500).

The density of states at the Fermi level comes out at 0.5846 states/eV/atom. Its total energy is -21.351 eV/cell. For the energy relative to the lowest polymorph listed for this composition, the calculation gives 0.240 eV per atom.

***

VASP calculation (PBE) on a relaxed structure of NaDy2AuO5.

The space group is P4/mbm (No. 127) and the conventional cell measures 6.538, 6.538 and 5.895 Å, with angles of 90.00, 90.00 and 90.00 degrees. The inequivalent atoms are Na at (0.000, 0.000, 0.000), Dy at (0.177, 0.323, 0.500), Au at (0.000, 0.500, 0.000), O at (0.000, 0.000, 0.500) and O at (0.138, 0.638, 0.261).

Its total energy is -117.236 eV/cell. The uncorrected formation energy is -1932 kJ/mol of formula units.